A plane-wave DFT calculation with PBE with a Hubbard U was carried out for a relaxed structure of NaNbW2O8.

CIF file:
```
data_NaNbW2O8
_chemical_formula_sum 'Na2 Nb2 W4 O16'
_symmetry_space_group_name_H-M 'C m m m'
_symmetry_Int_Tables_number 65
_symmetry_space_group_name_Hall '-C 2 2'
_cell_length_a 6.804
_cell_length_b 7.189
_cell_length_c 6.103
_cell_angle_alpha 90.00
_cell_angle_beta 90.00
_cell_angle_gamma 90.00
loop_
_atom_site_label
_atom_site_type_symbol
_atom_site_fract_x
_atom_site_fract_y
_atom_site_fract_z
Na1 Na 0.000 0.000 0.000
Nb1 Nb 0.000 0.000 0.500
W1 W 0.000 0.500 0.261
O1 O 0.000 0.288 0.500
O2 O 0.000 0.331 0.000
O3 O 0.215 0.000 0.281
```

Summary:
* calculated total energy: -7.498 eV/atom
* N(E_F): 0.10 states/eV/f.u.